Density functional theory data (PBE) for a relaxed structure of CoIrCl2.

SG: Imm2, No. 44
Calculated density, g cm⁻³: 6.60
DOS at the Fermi energy, states/eV per atom: 0.960
Total magnetization, μB per formula unit: 3.08
Excess energy over the best structure of this formula in the dataset, meV per atom: 393
Calculated volume, Å³ per atom: 20.24

Cell lengths 2.946, 3.891, 14.125 Å; angles 90.00, 90.00, 90.00 degrees
Element x y z (fractional)
Co (0.000, 0.000, 0.000)
Co (0.500, 0.500, 0.500)
Ir (0.000, 0.500, 0.649)
Ir (0.500, 0.000, 0.149)
Cl (0.000, 0.000, 0.439)
Cl (0.000, 0.500, 0.180)
Cl (0.500, 0.000, 0.680)
Cl (0.500, 0.500, 0.939)


Density functional theory data (PBE) for a relaxed structure of YZr2HCl.

SG: P4/mmm, No. 123
Energy, eV per atom: -5.882
Calculated density, g cm⁻³: 5.03
DOS at the Fermi energy, states/eV per atom: 1.254
Total magnetization, μB per formula unit: 0.00
Calculated volume, Å³ per atom: 20.30

Cell lengths 4.162, 4.162, 5.860 Å; angles 90.00, 90.00, 90.00 degrees
Element x y z (fractional)
Y (0.000, 0.000, 0.000)
Zr (0.000, 0.500, 0.500)
Zr (0.500, 0.000, 0.500)
H (0.500, 0.500, 0.500)
Cl (0.500, 0.500, 0.000)


Density functional theory data (PBE) for a relaxed structure of CeGdCdIr.

Formation enthalpy at 0 K, eV/atom: -0.406
SG: F-43m, No. 216
Calculated density, g cm⁻³: 10.53
DOS at the Fermi energy, states/eV per atom: 1.719
Total magnetization, μB per formula unit: 7.78
Calculated volume, Å³ per atom: 23.73

Cell lengths 7.241, 7.241, 7.241 Å; angles 90.00, 90.00, 90.00 degrees
Element x y z (fractional)
Ce (0.000, 0.000, 0.000)
Ce (0.000, 0.500, 0.500)
Ce (0.500, 0.000, 0.500)
Ce (0.500, 0.500, 0.000)
Gd (0.000, 0.000, 0.500)
Gd (0.000, 0.500, 0.000)
Gd (0.500, 0.000, 0.000)
Gd (0.500, 0.500, 0.500)
Cd (0.250, 0.250, 0.750)
Cd (0.250, 0.750, 0.250)
Cd (0.750, 0.250, 0.250)
Cd (0.750, 0.750, 0.750)
Ir (0.250, 0.250, 0.250)
Ir (0.250, 0.750, 0.750)
Ir (0.750, 0.250, 0.750)
Ir (0.750, 0.750, 0.250)


Density functional theory data (PBE) for a relaxed structure of RbGeO3.

SG: C2/m, No. 12
Energy, eV per atom: -5.588
Calculated density, g cm⁻³: 4.04
DOS at the Fermi energy, states/eV per atom: 0.000
Total magnetization, μB per formula unit: 0.02
Calculated volume, Å³ per atom: 16.92

Cell lengths 5.962, 5.962, 6.803 Å; angles 115.93, 115.93, 53.36 degrees
Element x y z (fractional)
Rb (0.105, 0.105, 0.357)
Rb (0.895, 0.895, 0.643)
Ge (0.295, 0.295, 0.016)
Ge (0.705, 0.705, 0.984)
O (0.039, 0.540, 0.204)
O (0.460, 0.961, 0.796)
O (0.492, 0.492, 0.104)
O (0.508, 0.508, 0.896)
O (0.540, 0.039, 0.204)
O (0.961, 0.460, 0.796)


Density functional theory data (PBE) for a relaxed structure of Li2TlP.

Formation enthalpy at 0 K, eV/atom: -0.092
SG: I-42d, No. 122
Calculated density, g cm⁻³: 5.13
DOS at the Fermi energy, states/eV per atom: 0.387
Total magnetization, μB per formula unit: 0.00
Excess energy over the best structure of this formula in the dataset, meV per atom: 243
Calculated volume, Å³ per atom: 20.18

Cell lengths 4.333, 4.333, 17.195 Å; angles 90.00, 90.00, 90.00 degrees
Element x y z (fractional)
Li (0.170, 0.250, 0.125)
Li (0.250, 0.670, 0.375)
Li (0.250, 0.830, 0.875)
Li (0.330, 0.250, 0.625)
Li (0.670, 0.750, 0.625)
Li (0.750, 0.170, 0.875)
Li (0.750, 0.330, 0.375)
Li (0.830, 0.750, 0.125)
Tl (0.000, 0.000, 0.500)
Tl (0.000, 0.500, 0.750)
Tl (0.500, 0.000, 0.250)
Tl (0.500, 0.500, 0.000)
P (0.000, 0.000, 0.000)
P (0.000, 0.500, 0.250)
P (0.500, 0.000, 0.750)
P (0.500, 0.500, 0.500)


Density functional theory data (PBE) for a relaxed structure of BaCo3S.

SG: Pm-3m, No. 221
Calculated density, g cm⁻³: 6.71
DOS at the Fermi energy, states/eV per atom: 0.711
Total magnetization, μB per formula unit: 3.03
Excess energy over the best structure of this formula in the dataset, meV per atom: 0
Calculated volume, Å³ per atom: 17.15

Cell lengths 4.409, 4.409, 4.409 Å; angles 90.00, 90.00, 90.00 degrees
Element x y z (fractional)
Ba (0.000, 0.000, 0.000)
Co (0.000, 0.500, 0.500)
Co (0.500, 0.000, 0.500)
Co (0.500, 0.500, 0.000)
S (0.500, 0.500, 0.500)